Record 1
DFT (PBE) results for an optimized crystal structure of SrAl3Ni.

Magnetic moment   0.000 μB/atom
Volume   19.4 A^3/atom
Energy of formation from the pure elements   -1.43 eV/f.u.
Density of states at the Fermi level   4.5 states/eV per cell

Cell: 6.685 6.685 5.136 Å, 90.00 90.00 122.24°
Fractional positions:
Sr 0.104 0.896 0.750
Sr 0.896 0.104 0.250
Al 0.152 0.433 0.750
Al 0.317 0.683 0.250
Al 0.433 0.152 0.250
Al 0.567 0.848 0.750
Al 0.683 0.317 0.750
Al 0.848 0.567 0.250
Ni 0.500 0.500 0.000
Ni 0.500 0.500 0.500



Record 2
DFT (PBE) results for an optimized crystal structure of SrAl3Ni.

Magnetic moment   0.036 μB/atom
Volume   37.8 A^3/atom
Energy of formation from the pure elements   9.59 eV/f.u.
Density of states at the Fermi level   11.4 states/eV per cell

Cell: 5.739 5.739 5.739 Å, 90.00 90.00 90.00°
Fractional positions:
Sr 0.000 0.000 0.000
Al 0.000 0.000 0.500
Al 0.000 0.500 0.000
Al 0.500 0.000 0.000
Ni 0.500 0.500 0.500



Record 3
DFT (PBE) results for an optimized crystal structure of SrAlNi.

Magnetic moment   0.000 μB/atom
Volume   23.9 A^3/atom
Energy of formation from the pure elements   0.27 eV/f.u.
Density of states at the Fermi level   1.7 states/eV per cell

Cell: 4.663 4.663 4.663 Å, 60.00 60.00 60.00°
Fractional positions:
Sr 0.000 0.000 0.000
Al 0.500 0.500 0.500
Ni 0.250 0.250 0.250